DFT (PBE) results for a relaxed Ho4InNi2Ge4 crystal.

As for the raw total energy: -5.42 eV/atom. The calculation puts the formation energy at -829 kJ/mol of formula units. As for the density of states at the Fermi level: 3.88 states/eV/f.u.

a = 8.0204 Å, b = 8.0204 Å, c = 7.0299 Å
α = 71.98°, β = 71.98°, γ = 30.62°
With the nearest neighbours (Å) after each atom.
Sites, in units of the cell vectors:
Ho  0.3443  0.3443  0.9382  5 Ge 2.91-3.08, 1 Ni 2.94
Ho  0.6557  0.6557  0.0618  5 Ge 2.91-3.08, 1 Ni 2.94
Ho  0.4078  0.4078  0.3924  7 Ge 2.97-3.26, 3 Ni 3.04-3.07
Ho  0.5922  0.5922  0.6076  7 Ge 2.97-3.26, 3 Ni 3.04-3.07
In  0.0000  0.0000  0.0000  4 Ge 2.85-3.13
Ni  0.2164  0.2164  0.3503  4 Ge 2.38-2.58
Ni  0.7836  0.7836  0.6497  4 Ge 2.38-2.58
Ge  0.0648  0.0648  0.3363  1 Ni 2.38, 1 Ge 2.52
Ge  0.9352  0.9352  0.6637  1 Ni 2.38, 1 Ge 2.52
Ge  0.2042  0.2042  0.7249  3 Ni 2.42-2.58
Ge  0.7958  0.7958  0.2751  3 Ni 2.42-2.58

DFT (PBE) results for a relaxed KSb2Os crystal.

The value obtained for the excess energy over the best structure of this formula in the dataset is 0.244 eV/atom. As for the raw total energy: -4.86 eV/atom. The formation energy (no corrections) comes out at 288 meV/atom. As for the density of states at the Fermi level: 3.01 states/eV/f.u.

a = 6.6057 Å, b = 6.6057 Å, c = 6.6057 Å
α = 152.29°, β = 122.27°, γ = 65.21°
With the nearest neighbours (Å) after each atom.
Sites, in units of the cell vectors:
K  0.7500  0.2500  0.5000  2 K 3.16
Os  0.2500  0.7500  0.5000  4 Sb 2.64
Sb  0.0606  0.0606  0.0000  2 Os 2.64
Sb  0.4394  0.4394  0.0000  2 Os 2.64

DFT (PBE) results for a relaxed Dy2Cd5Au crystal.

As for the raw total energy: -2.30 eV/atom. The calculation puts the formation energy at -127 kJ/mol of formula units. As for the density of states at the Fermi level: 4.96 states/eV/f.u.

a = 4.7285 Å, b = 4.7285 Å, c = 11.0443 Å
α = 77.64°, β = 77.64°, γ = 60.00°
With the nearest neighbours (Å) after each atom.
Sites, in units of the cell vectors:
Dy  0.0908  0.0908  0.7275  1 Au 2.92, 3 Cd 3.10
Dy  0.9092  0.9092  0.2725  1 Au 2.92, 3 Cd 3.10
Cd  0.5000  0.5000  0.5000  6 Cd 2.90
Cd  0.3646  0.3646  0.9063  3 Au 2.91
Cd  0.6354  0.6354  0.0937  3 Au 2.91
Cd  0.1970  0.1970  0.4089  3 Cd 2.90, 3 Dy 3.10
Cd  0.8030  0.8030  0.5911  3 Cd 2.90, 3 Dy 3.10
Au  0.0000  0.0000  0.0000  6 Cd 2.91, 2 Dy 2.92

DFT (PBE) results for a relaxed Ac2Tb5Tm4 crystal.

As for the raw total energy: -4.43 eV/atom. The calculation puts the formation energy at 54 kJ/mol of formula units. As for the density of states at the Fermi level: 15.72 states/eV/f.u.

a = 6.2379 Å, b = 9.5739 Å, c = 12.9926 Å
α = 125.24°, β = 143.04°, γ = 70.95°
With the nearest neighbours (Å) after each atom.
Sites, in units of the cell vectors:
Ac  0.2225  0.2677  0.3154  6 Tb 3.59-3.68, 5 Tm 3.60-3.66, 1 Ac 3.70
Ac  0.7775  0.7323  0.6846  6 Tb 3.59-3.68, 5 Tm 3.60-3.66, 1 Ac 3.70
Tb  0.3125  0.1854  0.0432  4 Tb 3.54-3.68, 5 Tm 3.58-3.70, 3 Ac 3.60-3.62
Tb  0.6875  0.8146  0.9568  4 Tb 3.54-3.68, 5 Tm 3.58-3.70, 3 Ac 3.60-3.62
Tb  0.5000  0.0000  0.5000  6 Tm 3.55-3.61, 2 Ac 3.59, 4 Tb 3.59-3.62
Tb  0.9442  0.5463  0.1312  5 Tm 3.53-3.63, 5 Tb 3.54-3.62, 2 Ac 3.67-3.68
Tb  0.0558  0.4537  0.8688  5 Tm 3.53-3.63, 5 Tb 3.54-3.62, 2 Ac 3.67-3.68
Tm  0.1480  0.3625  0.5965  6 Tb 3.53-3.68, 3 Tm 3.54-3.70, 3 Ac 3.60-3.66
Tm  0.8520  0.6375  0.4035  6 Tb 3.53-3.68, 3 Tm 3.54-3.70, 3 Ac 3.60-3.66
Tm  0.6083  0.9082  0.2339  3 Tm 3.52-3.61, 7 Tb 3.55-3.70, 2 Ac 3.64-3.65
Tm  0.3917  0.0918  0.7661  3 Tm 3.52-3.61, 7 Tb 3.55-3.70, 2 Ac 3.64-3.65

DFT (PBE) results for a relaxed KBaSr2Ga crystal.

As for the raw total energy: -1.95 eV/atom. The calculation puts the formation energy at -33 kJ/mol of formula units. As for the density of states at the Fermi level: 4.39 states/eV/f.u.

a = 6.4513 Å, b = 6.4513 Å, c = 6.5626 Å
α = 90.00°, β = 90.00°, γ = 90.00°
With the nearest neighbours (Å) after each atom.
Sites, in units of the cell vectors:
Sr  0.0000  0.5000  0.0000  2 Ga 3.23
Sr  0.5000  0.0000  0.0000  2 Ga 3.23
K  0.5000  0.5000  0.5000  4 Ba 4.56, 8 Sr 4.60
Ba  0.0000  0.0000  0.5000  2 Ga 3.28
Ga  0.0000  0.0000  0.0000  4 Sr 3.23, 2 Ba 3.28

DFT (PBE) results for a relaxed HgPdPb6 crystal.

As for the raw total energy: -3.49 eV/atom. The calculation puts the formation energy at -16 kJ/mol of formula units. As for the density of states at the Fermi level: 5.64 states/eV/f.u.

a = 4.5998 Å, b = 7.1244 Å, c = 7.1244 Å
α = 101.46°, β = 90.00°, γ = 90.00°
With the nearest neighbours (Å) after each atom.
Sites, in units of the cell vectors:
Hg  0.5000  0.4167  0.5833  6 Pb 3.13-3.33
Pd  0.0000  0.0419  0.9581  8 Pb 2.96-3.04
Pb  0.0000  0.6195  0.8468  1 Pd 2.96, 2 Hg 3.13
Pb  0.0000  0.1532  0.3805  1 Pd 2.96, 2 Hg 3.13
Pb  0.0000  0.6344  0.3656  2 Hg 3.33, 10 Pb 3.43-3.68
Pb  0.5000  0.9453  0.6755  2 Pd 3.04
Pb  0.5000  0.3245  0.0547  2 Pd 3.04
Pb  0.5000  0.8645  0.1355  2 Pd 3.02, 4 Pb 3.34

DFT (PBE) results for a relaxed Tm3Mg2Ir crystal.

As for the raw total energy: -4.65 eV/atom. The calculation puts the formation energy at -236 kJ/mol of formula units. As for the density of states at the Fermi level: 2.90 states/eV/f.u.

a = 7.8304 Å, b = 7.8304 Å, c = 7.8607 Å
α = 90.00°, β = 90.00°, γ = 143.49°
With the nearest neighbours (Å) after each atom.
Sites, in units of the cell vectors:
Tm  0.8244  0.1756  0.7920  3 Ir 2.97-3.03, 2 Mg 3.08-3.28, 3 Tm 3.27-3.30
Tm  0.5000  0.5000  0.2248  2 Ir 2.88, 2 Mg 3.02
Tm  0.1756  0.8244  0.2080  3 Ir 2.97-3.03, 2 Mg 3.08-3.28, 3 Tm 3.27-3.30
Tm  0.8244  0.1756  0.2080  3 Ir 2.97-3.03, 2 Mg 3.08-3.28, 3 Tm 3.27-3.30
Tm  0.1756  0.8244  0.7920  3 Ir 2.97-3.03, 2 Mg 3.08-3.28, 3 Tm 3.27-3.30
Tm  0.5000  0.5000  0.7752  2 Ir 2.88, 2 Mg 3.02
Mg  0.0000  0.0000  0.0000  8 Tm 3.02-3.08, 4 Ir 3.34
Mg  0.0000  0.0000  0.5000  8 Tm 3.27-3.48, 4 Mg 3.49
Mg  0.3328  0.6672  0.5000  8 Tm 3.28-3.36, 4 Mg 3.48-3.49
Mg  0.6672  0.3328  0.5000  8 Tm 3.28-3.36, 4 Mg 3.48-3.49
Ir  0.3474  0.6526  0.0000  8 Tm 2.88-3.03
Ir  0.6526  0.3474  0.0000  8 Tm 2.88-3.03

DFT (PBE) results for a relaxed TaMnBe2 crystal.

The value obtained for the excess energy over the best structure of this formula in the dataset is 0.287 eV/atom. As for the raw total energy: -6.95 eV/atom. The calculation puts the formation energy at 64 kJ/mol of formula units. As for the density of states at the Fermi level: 3.83 states/eV/f.u.

a = 2.9975 Å, b = 2.9975 Å, c = 5.3720 Å
α = 90.00°, β = 90.00°, γ = 90.00°
With the nearest neighbours (Å) after each atom.
Sites, in units of the cell vectors:
Be  0.0000  0.0000  0.0414  4 Be 2.38, 1 Mn 2.39
Be  0.5000  0.5000  0.2422  4 Be 2.38, 4 Mn 2.49, 1 Ta 2.62
Mn  0.0000  0.0000  0.4863  5 Be 2.39-2.49, 4 Ta 2.49
Ta  0.5000  0.5000  0.7301  4 Mn 2.49, 6 Be 2.62-2.75

DFT (PBE) results for a relaxed KBaH6Au3 crystal.

As for the raw total energy: -3.23 eV/atom. As for the density of states at the Fermi level: 0.00 states/eV/f.u.

a = 6.5910 Å, b = 6.5910 Å, c = 6.5910 Å
α = 108.98°, β = 71.02°, γ = 108.98°
With the nearest neighbours (Å) after each atom.
Sites, in units of the cell vectors:
K  0.4670  0.5330  0.4670  6 H 2.80-2.81
Ba  0.0254  0.9746  0.0254  6 H 2.74-2.78
H  0.2875  0.4053  0.0979  1 Au 1.67
H  0.5947  0.9021  0.2875  1 Au 1.67
H  0.1235  0.1483  0.4304  1 Au 1.66
H  0.8517  0.5696  0.1235  1 Au 1.66
H  0.4304  0.8765  0.8517  1 Au 1.66
H  0.0979  0.7125  0.5947  1 Au 1.67
Au  0.4993  0.8810  0.0742  2 H 1.66-1.67
Au  0.0742  0.5007  0.1190  2 H 1.66-1.67
Au  0.1190  0.9258  0.4993  2 H 1.66-1.67